No. 1
First-principles (GGA-PBE) data for a relaxed structure of Nb6AlMo5, as listed in Alexandria via LeMat-Bulk.

- ΔE_f (kcal/mol of atoms) = -3.61
- density (g/cm3) = 8.7

The structure in POSCAR format:
```
Nb6AlMo5
1.0
-2.278 3.250 6.867
2.278 -3.250 6.867
2.278 3.250 -6.867
Nb Al Mo
6 1 5
direct
0.078 0.331 0.747 Nb
0.241 0.000 0.241 Nb
0.415 0.669 0.747 Nb
0.585 0.331 0.253 Nb
0.759 0.000 0.759 Nb
0.922 0.669 0.253 Nb
0.500 0.500 0.000 Al
0.000 0.500 0.500 Mo
0.169 0.169 0.000 Mo
0.340 0.840 0.500 Mo
0.660 0.160 0.500 Mo
0.831 0.831 0.000 Mo
```


No. 2
First-principles (GGA-PBE) data for a relaxed structure of SiRhIO2, as listed in Alexandria via LeMat-Bulk.

- polymorph energy (0 for the lowest one) (meV/atom) = 0
- ΔE_f (raw) (eV/f.u.) = -2.75
- density (g/cm3) = 5.4

The structure in POSCAR format:
```
SiRhIO2
1.0
3.527 0.000 0.000
0.000 3.527 0.000
0.000 0.000 7.106
Si Rh I O
1 1 1 2
direct
0.000 0.000 0.000 Si
0.500 0.500 0.500 Rh
0.000 0.000 0.500 I
0.000 0.500 0.000 O
0.500 0.000 0.000 O
```


No. 3
First-principles (GGA-PBE) data for a relaxed structure of Na2Hf2CuTe6, as listed in Alexandria via LeMat-Bulk.

- ΔE_f (raw) (eV/f.u.) = -7.12
- density (g/cm3) = 6.1

The structure in POSCAR format:
```
Na2Hf2CuTe6
1.0
3.485 -6.236 0.000
3.485 6.236 0.000
-2.420 0.000 7.758
Na Hf Cu Te
2 2 1 6
direct
0.165 0.835 0.000 Na
0.835 0.165 0.000 Na
0.331 0.669 0.500 Hf
0.669 0.331 0.500 Hf
0.000 0.000 0.500 Cu
0.077 0.410 0.717 Te
0.247 0.247 0.297 Te
0.410 0.077 0.717 Te
0.590 0.923 0.283 Te
0.753 0.753 0.703 Te
0.923 0.590 0.283 Te
```


No. 4
First-principles (GGA-PBE) data for a relaxed structure of AlBC, as listed in Alexandria via LeMat-Bulk.

- polymorph energy (0 for the lowest one) (meV/atom) = 404
- ΔE_f (kcal/mol of atoms) = 8.87
- density (g/cm3) = 2.5

The structure in POSCAR format:
```
AlBC
1.0
3.656 -1.542 0.000
3.656 1.542 0.000
-2.049 0.000 5.911
Al B C
2 2 2
direct
0.000 0.000 0.000 Al
0.519 0.519 0.508 Al
0.183 0.183 0.376 B
0.725 0.725 0.284 B
0.574 0.574 0.839 C
0.740 0.740 0.031 C
```


No. 5
First-principles (GGA-PBE) data for a relaxed structure of Sr2MgSn2Rh5, as listed in Alexandria via LeMat-Bulk.

- ΔE_f (kcal/mol of atoms) = -7.93
- density (g/cm3) = 7.8

The structure in POSCAR format:
```
Sr2MgSn2Rh5
1.0
10.703 0.000 0.000
0.000 10.703 0.000
0.000 0.000 3.520
Sr Mg Sn Rh
4 2 4 10
direct
0.170 0.330 0.000 Sr
0.330 0.830 0.000 Sr
0.670 0.170 0.000 Sr
0.830 0.670 0.000 Sr
0.000 0.000 0.000 Mg
0.500 0.500 0.000 Mg
0.131 0.631 0.000 Sn
0.369 0.131 0.000 Sn
0.631 0.869 0.000 Sn
0.869 0.369 0.000 Sn
0.000 0.500 0.500 Rh
0.062 0.804 0.500 Rh
0.196 0.062 0.500 Rh
0.304 0.562 0.500 Rh
0.438 0.304 0.500 Rh
0.500 0.000 0.500 Rh
0.562 0.696 0.500 Rh
0.696 0.438 0.500 Rh
0.804 0.938 0.500 Rh
0.938 0.196 0.500 Rh
```


No. 6
First-principles (GGA-PBE) data for a relaxed structure of CrHPd3, as listed in Alexandria via LeMat-Bulk.

- polymorph energy (0 for the lowest one) (meV/atom) = 125
- density (g/cm3) = 9.9

The structure in POSCAR format:
```
CrHPd3
1.0
7.064 0.000 0.000
0.000 4.912 0.000
-3.699 0.000 7.194
Cr H Pd
4 4 12
direct
0.075 0.135 0.085 Cr
0.075 0.365 0.585 Cr
0.925 0.635 0.415 Cr
0.925 0.865 0.915 Cr
0.448 0.742 0.361 H
0.448 0.758 0.861 H
0.552 0.242 0.139 H
0.552 0.258 0.639 H
0.150 0.615 0.242 Pd
0.150 0.885 0.742 Pd
0.287 0.095 0.455 Pd
0.287 0.405 0.955 Pd
0.429 0.595 0.644 Pd
0.429 0.905 0.144 Pd
0.571 0.095 0.856 Pd
0.571 0.405 0.356 Pd
0.713 0.595 0.045 Pd
0.713 0.905 0.545 Pd
0.850 0.115 0.258 Pd
0.850 0.385 0.758 Pd
```


No. 7
First-principles (GGA-PBE) data for a relaxed structure of PmSbW, as listed in Alexandria via LeMat-Bulk.

- ΔE_f (raw) (eV/f.u.) = 0.36
- density (g/cm3) = 10.2

The structure in POSCAR format:
```
PmSbW
1.0
3.628 0.000 0.000
0.000 3.582 0.000
-0.003 0.000 11.334
Pm Sb W
2 2 2
direct
0.249 0.250 0.244 Pm
0.751 0.750 0.756 Pm
0.250 0.250 0.581 Sb
0.750 0.750 0.419 Sb
0.251 0.250 0.966 W
0.749 0.750 0.034 W
```


No. 8
First-principles (GGA-PBE) data for a relaxed structure of AlVGe2, as listed in Alexandria via LeMat-Bulk.

- ΔE_f (kcal/mol of atoms) = -0.03
- density (g/cm3) = 5.6

The structure in POSCAR format:
```
AlVGe2
1.0
1.424 0.822 9.452
-1.424 0.822 9.452
0.000 -1.644 9.452
Al V Ge
1 1 2
direct
0.000 0.000 0.000 Al
0.500 0.500 0.500 V
0.094 0.094 0.094 Ge
0.906 0.906 0.906 Ge
```


No. 9
First-principles (GGA-PBE) data for a relaxed structure of AsPd, as listed in Alexandria via LeMat-Bulk.

- ΔE_f (kcal/mol of atoms) = -4.13
- density (g/cm3) = 7.2

The structure in POSCAR format:
```
AsPd
1.0
4.757 0.000 0.000
0.000 12.286 0.000
0.000 0.000 4.276
As Pd
6 6
direct
0.250 0.131 0.078 As
0.250 0.369 0.078 As
0.250 0.750 0.273 As
0.750 0.250 0.727 As
0.750 0.631 0.922 As
0.750 0.869 0.922 As
0.250 0.250 0.563 Pd
0.250 0.570 0.005 Pd
0.250 0.930 0.005 Pd
0.750 0.070 0.995 Pd
0.750 0.430 0.995 Pd
0.750 0.750 0.437 Pd
```


No. 10
First-principles (GGA-PBE) data for a relaxed structure of Pm4Ho3Pt4, as listed in Alexandria via LeMat-Bulk.

- ΔE_f (kcal/mol of atoms) = -19.00
- density (g/cm3) = 10.9

The structure in POSCAR format:
```
Pm4Ho3Pt4
1.0
-1.915 4.461 8.304
1.915 -4.461 8.304
1.915 4.461 -8.304
Pm Ho Pt
4 3 4
direct
0.022 0.836 0.186 Pm
0.350 0.164 0.186 Pm
0.650 0.836 0.814 Pm
0.978 0.164 0.814 Pm
0.000 0.500 0.500 Ho
0.402 0.402 0.000 Ho
0.598 0.598 0.000 Ho
0.261 0.761 0.500 Pt
0.305 0.000 0.305 Pt
0.695 0.000 0.695 Pt
0.739 0.239 0.500 Pt
```


No. 11
First-principles (GGA-PBE) data for a relaxed structure of Cs2SrTmI6, as listed in Alexandria via LeMat-Bulk.

- ΔE_f (raw) (eV/f.u.) = -13.98
- density (g/cm3) = 4.4

The structure in POSCAR format:
```
Cs2SrTmI6
1.0
8.820 0.000 0.000
0.000 12.492 0.000
0.000 0.000 8.837
Cs Sr Tm I
4 2 2 12
direct
0.250 0.002 0.249 Cs
0.250 0.498 0.249 Cs
0.750 0.502 0.751 Cs
0.750 0.998 0.751 Cs
0.250 0.250 0.749 Sr
0.750 0.750 0.251 Sr
0.250 0.750 0.751 Tm
0.750 0.250 0.249 Tm
0.009 0.750 0.510 I
0.009 0.750 0.992 I
0.250 0.509 0.750 I
0.250 0.991 0.750 I
0.491 0.750 0.510 I
0.491 0.750 0.992 I
0.509 0.250 0.008 I
0.509 0.250 0.490 I
0.750 0.009 0.250 I
0.750 0.491 0.250 I
0.991 0.250 0.008 I
0.991 0.250 0.490 I
```


No. 12
First-principles (GGA-PBE) data for a relaxed structure of La2NdDy2Tm, as listed in Alexandria via LeMat-Bulk.

- ΔE_f (kcal/mol of atoms) = 1.47
- density (g/cm3) = 7.5

The structure in POSCAR format:
```
La2NdDy2Tm
1.0
7.117 0.000 0.000
0.000 5.732 0.000
0.000 0.000 9.909
La Nd Dy Tm
4 2 4 2
direct
0.000 0.000 0.000 La
0.250 0.500 0.180 La
0.500 0.000 0.000 La
0.750 0.500 0.820 La
0.250 0.000 0.657 Nd
0.750 0.000 0.343 Nd
0.250 0.000 0.333 Dy
0.250 0.500 0.834 Dy
0.750 0.000 0.667 Dy
0.750 0.500 0.166 Dy
0.000 0.500 0.500 Tm
0.500 0.500 0.500 Tm
```


No. 13
First-principles (GGA-PBE) data for a relaxed structure of NdDy2AlO, as listed in Alexandria via LeMat-Bulk.

- ΔE_f (raw) (eV/f.u.) = -6.73
- density (g/cm3) = 7.7

The structure in POSCAR format:
```
NdDy2AlO
1.0
4.725 0.000 0.000
0.000 4.725 0.000
0.000 0.000 4.947
Nd Dy Al O
1 2 1 1
direct
0.000 0.000 0.000 Nd
0.000 0.500 0.500 Dy
0.500 0.000 0.500 Dy
0.500 0.500 0.000 Al
0.000 0.000 0.500 O
```


No. 14
First-principles (GGA-PBE) data for a relaxed structure of PmHoAu2, as listed in Alexandria via LeMat-Bulk.

- polymorph energy (0 for the lowest one) (meV/atom) = 0
- ΔE_f (kcal/mol of atoms) = -19.55
- density (g/cm3) = 11.8

The structure in POSCAR format:
```
PmHoAu2
1.0
3.774 0.000 0.000
0.000 4.731 0.000
-1.863 0.000 5.565
Pm Ho Au
1 1 2
direct
0.000 0.000 0.000 Pm
0.725 0.500 0.446 Ho
0.274 0.000 0.544 Au
0.448 0.500 0.894 Au
```


No. 15
First-principles (GGA-PBE) data for a relaxed structure of LiTePt2, as listed in Alexandria via LeMat-Bulk.

- ΔE_f (raw) (eV/f.u.) = -1.48
- density (g/cm3) = 13.0

The structure in POSCAR format:
```
LiTePt2
1.0
4.106 0.000 0.000
0.000 4.106 0.000
0.000 0.000 3.959
Li Te Pt
1 1 2
direct
0.000 0.000 0.000 Li
0.500 0.500 0.000 Te
0.000 0.500 0.500 Pt
0.500 0.000 0.500 Pt
```


No. 16
First-principles (GGA-PBE) data for a relaxed structure of POs2Br, as listed in Alexandria via LeMat-Bulk.

- polymorph energy (0 for the lowest one) (meV/atom) = 704
- ΔE_f (raw) (eV/f.u.) = 4.40
- density (g/cm3) = 13.8

The structure in POSCAR format:
```
POs2Br
1.0
0.000 3.091 3.091
3.091 0.000 3.091
3.091 3.091 0.000
P Os Br
1 2 1
direct
0.000 0.000 0.000 P
0.250 0.250 0.250 Os
0.750 0.750 0.750 Os
0.500 0.500 0.500 Br
```


No. 17
First-principles (GGA-PBE) data for a relaxed structure of AcUCdO6, as listed in Alexandria via LeMat-Bulk.

- ΔE_f (raw) (eV/f.u.) = -22.28
- density (g/cm3) = 7.4

The structure in POSCAR format:
```
AcUCdO6
1.0
5.301 0.000 0.000
0.000 5.301 0.000
0.000 0.000 10.757
Ac U Cd O
2 2 2 12
direct
0.000 0.000 0.000 Ac
0.500 0.500 0.500 Ac
0.000 0.000 0.662 U
0.500 0.500 0.162 U
0.000 0.000 0.327 Cd
0.500 0.500 0.827 Cd
0.176 0.176 0.512 O
0.186 0.186 0.802 O
0.221 0.221 0.170 O
0.279 0.721 0.670 O
0.314 0.686 0.302 O
0.324 0.676 0.012 O
0.676 0.324 0.012 O
0.686 0.314 0.302 O
0.721 0.279 0.670 O
0.779 0.779 0.170 O
0.814 0.814 0.802 O
0.824 0.824 0.512 O
```


No. 18
First-principles (GGA-PBE) data for a relaxed structure of CaMg2Tc, as listed in Alexandria via LeMat-Bulk.

- polymorph energy (0 for the lowest one) (meV/atom) = 73
- ΔE_f (kcal/mol of atoms) = 8.32
- density (g/cm3) = 3.6

The structure in POSCAR format:
```
CaMg2Tc
1.0
1.868 -2.336 0.000
1.868 2.336 0.000
0.000 0.000 9.772
Ca Mg Tc
1 2 1
direct
0.000 0.000 0.000 Ca
0.000 0.000 0.441 Mg
0.500 0.500 0.704 Mg
0.500 0.500 0.234 Tc
```


No. 19
First-principles (GGA-PBE) data for a relaxed structure of SbPb2Se, as listed in Alexandria via LeMat-Bulk.

- polymorph energy (0 for the lowest one) (meV/atom) = 171
- ΔE_f (raw) (eV/f.u.) = -0.15
- density (g/cm3) = 9.0

The structure in POSCAR format:
```
SbPb2Se
1.0
0.000 3.849 3.849
3.849 0.000 3.849
3.849 3.849 0.000
Sb Pb Se
1 2 1
direct
0.000 0.000 0.000 Sb
0.250 0.250 0.250 Pb
0.750 0.750 0.750 Pb
0.500 0.500 0.500 Se
```


No. 20
First-principles (GGA-PBE) data for a relaxed structure of Ag5TeO4, as listed in Alexandria via LeMat-Bulk.

- ΔE_f (raw) (eV/f.u.) = -3.20
- density (g/cm3) = 7.9

The structure in POSCAR format:
```
Ag5TeO4
1.0
6.321 -1.557 0.000
6.321 1.557 0.000
-1.881 0.000 7.832
Ag Te O
5 1 4
direct
0.000 0.000 0.000 Ag
0.312 0.312 0.728 Ag
0.332 0.332 0.095 Ag
0.668 0.668 0.905 Ag
0.688 0.688 0.272 Ag
0.000 0.000 0.500 Te
0.148 0.148 0.490 O
0.473 0.473 0.330 O
0.527 0.527 0.670 O
0.852 0.852 0.510 O
```